1 | Material: Pr5Nd6
Method: DFT, PBE
State: optimized geometry

Geometry as POSCAR:
```
Pr5Nd6
1.0
5.383 1.049 -1.782
2.877 8.442 -5.006
0.203 -0.562 9.618
Nd Pr
6 5
Direct
0.705 0.794 0.000
0.795 0.068 0.726
0.205 0.932 0.274
0.795 0.342 0.274
0.295 0.206 0.000
0.205 0.658 0.726
0.500 0.200 0.401
0.500 0.800 0.599
0.500 0.500 0.000
0.000 0.340 0.681
0.000 0.660 0.319
```

Fermi-level density of states	16.7	states/eV per cell
ρ	6555	kg/m3
size of the total moment	0.000	μB per formula unit
SG	Immm (71)

=====

2 | Material: Pr5Nd6
Method: DFT, PBE
State: optimized geometry

Geometry as POSCAR:
```
Pr5Nd6
1.0
-7.504 -5.340 -2.380
-4.859 -4.041 5.378
-5.342 3.754 -0.117
Pr Nd
5 6
Direct
0.370 0.259 0.000
0.630 0.741 0.000
0.239 0.521 0.500
0.761 0.479 0.500
0.500 0.000 0.500
0.171 0.000 0.321
0.309 0.737 0.833
0.954 0.737 0.167
0.829 0.000 0.679
0.691 0.263 0.167
0.046 0.263 0.833
```

Fermi-level density of states	14.9	states/eV per cell
ρ	6531	kg/m3
size of the total moment	0.000	μB per formula unit
SG	C2/m (12)

=====

Least stable = 2

=====

1 | Material: Pr2NdPt2
Method: DFT, PBE
State: optimized geometry

Geometry as POSCAR:
```
Pr2NdPt2
1.0
-3.681 -3.289 0.597
1.599 -1.021 4.597
-1.967 6.850 -1.287
Pt Nd Pr
2 1 2
Direct
0.461 0.461 0.792
0.539 0.539 0.208
0.000 0.000 0.000
0.763 0.237 0.500
0.237 0.763 0.500
```

Fermi-level density of states	4.4	states/eV per cell
ρ	9724	kg/m3
size of the total moment	0.000	μB per formula unit
SG	C2/m (12)

=====

2 | Material: Pr2NdPt2
Method: DFT, PBE
State: optimized geometry

Geometry as POSCAR:
```
Pr2NdPt2
1.0
4.094 0.000 0.000
0.000 8.037 0.000
0.000 0.000 8.037
Nd Pr Pt
2 4 4
Direct
0.000 0.000 0.000
0.000 0.500 0.500
0.500 0.836 0.336
0.500 0.164 0.664
0.500 0.336 0.164
0.500 0.664 0.836
0.000 0.633 0.133
0.000 0.367 0.867
0.000 0.867 0.633
0.000 0.133 0.367
```

Fermi-level density of states	8.1	states/eV per cell
ρ	10251	kg/m3
size of the total moment	0.000	μB per formula unit
SG	P4/mbm (127)

=====

Least stable = 1